# 1
This record from Alexandria describes a relaxed structure of La2TbY6Ho3. The functional is PBE.

```
La2TbY6Ho3
1.0
3.111 -5.387 0.000
3.111 5.387 0.000
-2.068 0.000 11.687
La Tb Y Ho
2 1 6 3
Cartesian
3.111 3.594 0.000
3.111 -3.594 0.000
3.111 0.000 0.000
0.006 1.791 8.713
1.048 0.000 2.976
0.006 -1.791 8.713
4.149 1.791 2.974
3.107 0.000 8.711
4.149 -1.791 2.974
-1.034 0.000 5.844
2.077 1.794 5.844
2.077 -1.794 5.844
```

Computed properties:
Its magnetic moment is 0.000 μB/f.u. As for the space group: C2/m, No. 12. The calculated formation energy is 0.3 eV per formula unit.

***

# 2
This record from Alexandria describes a relaxed structure of PmSmZn6. The functional is PBE.

```
PmSmZn6
1.0
4.422 0.000 0.000
0.000 3.295 5.435
0.000 -3.295 5.435
Pm Sm Zn
1 1 6
Cartesian
0.000 0.000 0.000
2.211 0.000 3.385
0.000 0.000 5.471
0.000 -1.367 7.980
0.000 1.367 7.980
2.211 -1.362 6.278
2.211 1.362 6.278
2.211 0.000 8.775
```

Computed properties:
Its magnetic moment is 0.000 μB/f.u. As for the space group: Amm2, No. 38. The calculated formation energy is -2.5 eV per formula unit.